The following is a PBE calculation of a geometry-optimized PuTlI6 structure, from the Alexandria database.

Formation energy without anion corrections (meV/atom): -650.6
Space-group type: No. 12

Cell lengths 7.6498, 7.6498, 7.8184 Å; angles 98.95, 98.95, 115.42 degrees
Last column: magnetic moment on the atom in μB.
Sites, in units of the cell vectors:
I (0.1448, 0.4695, 0.2568)  -0.17
I (0.2359, 0.2359, 0.6877)  -0.18
I (0.7641, 0.7641, 0.3123)  -0.18
I (0.4695, 0.1448, 0.2568)  -0.17
Pu (0.5000, 0.5000, 0.5000)  4.46
I (0.8552, 0.5305, 0.7432)  -0.17
Tl (0.0000, 0.0000, 0.0000)  -0.04
I (0.5305, 0.8552, 0.7432)  -0.17